The following is a PBE calculation of a relaxed SrLiTmSe3 crystal, from OQMD via LeMat-Bulk.

Computed properties:
**Polymorph energy (0 for the lowest one)**: 0.028 eV/atom

abc: 13.7819 4.1265 10.7307
angles: 90.00 90.00 90.00
Sites, in units of the cell vectors:
Se 0.8941 0.2500 0.5696
Se 0.0983 0.2500 0.1151
Se 0.3941 0.2500 0.9304
Se 0.1416 0.2500 0.7504
Se 0.3584 0.7500 0.2504
Se 0.8584 0.7500 0.2496
Se 0.1059 0.7500 0.4304
Se 0.9017 0.7500 0.8849
Se 0.5983 0.2500 0.3849
Se 0.6416 0.2500 0.7496
Se 0.4017 0.7500 0.6151
Se 0.6059 0.7500 0.0696
Sr 0.7728 0.2500 0.0333
Sr 0.2728 0.2500 0.4667
Sr 0.7272 0.7500 0.5333
Sr 0.2272 0.7500 0.9667
Tm 0.4835 0.2500 0.1668
Tm 0.9835 0.2500 0.3332
Tm 0.5165 0.7500 0.8332
Tm 0.0165 0.7500 0.6668
Li 0.4939 0.7500 0.4097
Li 0.0061 0.2500 0.9097
Li 0.9939 0.7500 0.0903
Li 0.5061 0.2500 0.5903

***

The following is a PBE calculation of a relaxed AgPt3Au2 crystal, from OQMD via LeMat-Bulk.

Computed properties:
**Formation energy from the elements**: 0.036 eV per formula unit

abc: 2.8394 2.8394 14.3084
angles: 90.00 90.00 120.00
Sites, in units of the cell vectors:
Ag 0.0000 0.0000 0.5000
Pt 0.3333 0.6667 0.6656
Pt 0.0000 0.0000 0.0000
Pt 0.6667 0.3333 0.3344
Au 0.6667 0.3333 0.8331
Au 0.3333 0.6667 0.1669

***

The following is a PBE calculation of a relaxed BeCoReSi crystal, from OQMD via LeMat-Bulk.

Computed properties:
**Polymorph energy (0 for the lowest one)**: 0.355 eV/atom

abc: 4.0115 4.0115 4.0115
angles: 60.00 60.00 60.00
Each line ends with the local moment (μB).
Sites, in units of the cell vectors:
Re 0.5000 0.5000 0.5000  0.45
Si 0.0000 0.0000 0.0000  -0.02
Co 0.7500 0.7500 0.7500  0.93
Be 0.2500 0.2500 0.2500  0.06